No. 1
Below is a crystal of Rb2Mg relaxed with PBEsol, with properties calculated at the meta-GGA SCAN level.

Cell lengths 4.0313, 6.7344, 6.7344 Å; angles 120.00, 90.00, 90.00 degrees
Fractional coordinates of all 3 atoms:
Rb (0.5000, 0.3333, 0.6667)
Rb (0.5000, 0.6667, 0.3333)
Mg (0.0000, 0.0000, 0.0000)

The calculation puts the energy above the most stable polymorph in this dataset at 32.4 meV/atom. Its crystal system is hexagonal. Its density of states at the Fermi level is 2.4 states/eV/f.u. The calculation puts the formation energy at 5.91 kcal/mol of atoms.

No. 2
Below is a crystal of ScIr2Ru relaxed with PBEsol, with properties calculated at the meta-GGA SCAN level.

Cell lengths 3.8790, 3.8920, 3.8920 Å; angles 90.00, 90.00, 90.00 degrees
Fractional coordinates of all 4 atoms:
Ir (0.0000, 0.0000, 0.5000)
Ir (0.0000, 0.5000, 0.0000)
Ru (0.5000, 0.5000, 0.5000)
Sc (0.5000, 0.0000, 0.0000)

The calculation puts the energy above the most stable polymorph in this dataset at 0.0 meV/atom. Its crystal system is tetragonal. Its density of states at the Fermi level is 3.5 states/eV/f.u. The calculation puts the formation energy at -12.45 kcal/mol of atoms.

No. 3
Below is a crystal of PrCdAg2 relaxed with PBEsol, with properties calculated at the meta-GGA SCAN level.

Cell lengths 4.9650, 4.9650, 4.9650 Å; angles 60.00, 60.00, 60.00 degrees
Fractional coordinates of all 4 atoms:
Ag (0.2500, 0.2500, 0.2500)
Ag (0.7500, 0.7500, 0.7500)
Cd (0.0000, 0.0000, 0.0000)
Pr (0.5000, 0.5000, 0.5000)

Its crystal system is cubic. Its density of states at the Fermi level is 3.5 states/eV/f.u. The calculation puts the formation energy at -6.66 kcal/mol of atoms.

No. 4
Below is a crystal of Be3C relaxed with PBEsol, with properties calculated at the meta-GGA SCAN level.

Cell lengths 2.8949, 2.8949, 3.6439 Å; angles 90.00, 90.00, 90.00 degrees
Fractional coordinates of all 4 atoms:
Be (0.5000, 0.0000, 0.9823)
Be (0.0000, 0.5000, 0.9823)
Be (0.5000, 0.5000, 0.4438)
C (0.0000, 0.0000, 0.2589)

Its crystal system is tetragonal. Its density of states at the Fermi level is 0.3 states/eV/f.u. The calculation puts the formation energy at 9.59 kcal/mol of atoms.

No. 5
Below is a crystal of CoMoIr2 relaxed with PBEsol, with properties calculated at the meta-GGA SCAN level.

Cell lengths 3.7942, 3.7942, 4.5928 Å; angles 114.40, 114.40, 90.00 degrees
Fractional coordinates of all 4 atoms:
Mo (0.5000, 0.5000, 0.0000)
Ir (0.2500, 0.7500, 0.5000)
Ir (0.7500, 0.2500, 0.5000)
Co (0.0000, 0.0000, 0.0000)

The calculation puts the energy above the most stable polymorph in this dataset at 0.0 meV/atom. Its crystal system is tetragonal. Its density of states at the Fermi level is 1.9 states/eV/f.u. The calculation puts the formation energy at -6.02 kcal/mol of atoms.

No. 6
Below is a crystal of AuSe3S relaxed with PBEsol, with properties calculated at the meta-GGA SCAN level.

Cell lengths 4.9498, 4.9498, 4.9498 Å; angles 90.00, 90.00, 90.00 degrees
Fractional coordinates of all 5 atoms:
Au (0.0000, 0.0000, 0.0000)
Se (0.0000, 0.0000, 0.5000)
Se (0.5000, 0.0000, 0.0000)
Se (0.0000, 0.5000, 0.0000)
S (0.5000, 0.5000, 0.5000)

The uncorrected formation energy comes out at 1019 meV per atom. Its crystal system is cubic. Its density of states at the Fermi level is 6.1 states/eV/f.u.

No. 7
Below is a crystal of MnBeTl relaxed with PBEsol, with properties calculated at the meta-GGA SCAN level.

Cell lengths 2.9381, 2.9381, 5.6098 Å; angles 105.18, 105.18, 90.00 degrees
Fractional coordinates of all 3 atoms:
Tl (0.3363, 0.3363, 0.6727)
Mn (0.6350, 0.6350, 0.2699)
Be (0.0287, 0.0287, 0.0574)

Its crystal system is tetragonal. Its density of states at the Fermi level is 1.5 states/eV/f.u. The calculation puts the formation energy at 7.93 kcal/mol of atoms.

No. 8
Below is a crystal of LaMoSe2 relaxed with PBEsol, with properties calculated at the meta-GGA SCAN level.

Cell lengths 5.4094, 5.4094, 8.2185 Å; angles 109.21, 109.21, 90.00 degrees
Fractional coordinates of all 8 atoms:
Mo (0.7500, 0.2500, 0.5000)
Mo (0.5000, 0.5000, 0.0000)
Se (0.4619, 0.8750, 0.2500)
Se (0.7881, 0.3750, 0.2500)
Se (0.1250, 0.2119, 0.7500)
Se (0.6250, 0.5381, 0.7500)
La (0.0000, 0.0000, 0.0000)
La (0.2500, 0.7500, 0.5000)

The calculation puts the energy above the most stable polymorph in this dataset at 225.9 meV/atom. The uncorrected formation energy comes out at -604 meV per atom. Its crystal system is tetragonal. Its density of states at the Fermi level is 2.8 states/eV/f.u.

No. 9
Below is a crystal of YFeNi4 relaxed with PBEsol, with properties calculated at the meta-GGA SCAN level.

Cell lengths 3.8797, 4.8611, 4.8611 Å; angles 120.00, 90.00, 90.00 degrees
Fractional coordinates of all 6 atoms:
Ni (0.5000, 0.8330, 0.6660)
Ni (0.0000, 0.6667, 0.3333)
Ni (0.5000, 0.3340, 0.1670)
Ni (0.5000, 0.8330, 0.1670)
Fe (0.0000, 0.0000, 0.0000)
Y (0.0000, 0.3333, 0.6667)

Its crystal system is hexagonal. Its density of states at the Fermi level is 4.4 states/eV/f.u. The calculation puts the formation energy at -6.20 kcal/mol of atoms.

No. 10
Below is a crystal of AlZnCd relaxed with PBEsol, with properties calculated at the meta-GGA SCAN level.

Cell lengths 2.8891, 2.8891, 7.7896 Å; angles 94.85, 94.85, 122.96 degrees
Fractional coordinates of all 3 atoms:
Zn (0.6619, 0.6619, 0.3238)
Cd (0.3296, 0.3296, 0.6592)
Al (0.0085, 0.0085, 0.0170)

The calculation puts the energy above the most stable polymorph in this dataset at 72.2 meV/atom. Its crystal system is orthorhombic. Its density of states at the Fermi level is 1.0 states/eV/f.u. The calculation puts the formation energy at 3.22 kcal/mol of atoms.

No. 11
Below is a crystal of Zr2ZnTc relaxed with PBEsol, with properties calculated at the meta-GGA SCAN level.

Cell lengths 3.3415, 4.4824, 5.4933 Å; angles 114.08, 107.71, 90.00 degrees
Fractional coordinates of all 4 atoms:
Zr (0.9996, 0.9996, 0.9992)
Zr (0.7716, 0.2716, 0.5432)
Tc (0.5033, 0.5033, 0.0065)
Zn (0.2255, 0.7255, 0.4511)

Its crystal system is orthorhombic. Its density of states at the Fermi level is 3.4 states/eV/f.u. The calculation puts the formation energy at -5.29 kcal/mol of atoms.

No. 12
Below is a crystal of MgSnBr3 relaxed with PBEsol, with properties calculated at the meta-GGA SCAN level.

Cell lengths 5.6509, 5.6509, 5.6509 Å; angles 90.00, 90.00, 90.00 degrees
Fractional coordinates of all 5 atoms:
Br (0.0000, 0.5000, 0.0000)
Br (0.5000, 0.0000, 0.0000)
Br (0.0000, 0.0000, 0.5000)
Sn (0.0000, 0.0000, 0.0000)
Mg (0.5000, 0.5000, 0.5000)

The uncorrected formation energy comes out at -449 meV per atom. Its crystal system is cubic. Its density of states at the Fermi level is 0.3 states/eV/f.u.

No. 13
Below is a crystal of Sc2GeBr relaxed with PBEsol, with properties calculated at the meta-GGA SCAN level.

Cell lengths 4.8115, 4.8115, 4.8115 Å; angles 60.00, 60.00, 60.00 degrees
Fractional coordinates of all 4 atoms:
Ge (0.0000, 0.0000, 0.0000)
Br (0.5000, 0.5000, 0.5000)
Sc (0.2500, 0.2500, 0.2500)
Sc (0.7500, 0.7500, 0.7500)

The uncorrected formation energy comes out at -684 meV per atom. Its crystal system is cubic. Its density of states at the Fermi level is 3.2 states/eV/f.u.

No. 14
Below is a crystal of LiMgAg2 relaxed with PBEsol, with properties calculated at the meta-GGA SCAN level.

Cell lengths 3.3793, 3.3793, 5.9283 Å; angles 90.00, 90.00, 90.00 degrees
Fractional coordinates of all 4 atoms:
Mg (0.5000, 0.5000, 0.7596)
Ag (0.5000, 0.5000, 0.2643)
Ag (0.0000, 0.0000, 0.0037)
Li (0.0000, 0.0000, 0.4724)

Its crystal system is tetragonal. Its density of states at the Fermi level is 1.0 states/eV/f.u. The calculation puts the formation energy at -3.93 kcal/mol of atoms.

No. 15
Below is a crystal of KBaSeN2 relaxed with PBEsol, with properties calculated at the meta-GGA SCAN level.

Cell lengths 4.8832, 4.8832, 5.9270 Å; angles 90.00, 90.00, 90.00 degrees
Fractional coordinates of all 5 atoms:
K (0.0000, 0.0000, 0.0000)
N (0.5000, 0.0000, 0.0000)
N (0.0000, 0.5000, 0.0000)
Ba (0.5000, 0.5000, 0.5000)
Se (0.0000, 0.0000, 0.5000)

The uncorrected formation energy comes out at 672 meV per atom. Its crystal system is tetragonal. Its density of states at the Fermi level is 1.2 states/eV/f.u.

No. 16
Below is a crystal of CrIn2Ir relaxed with PBEsol, with properties calculated at the meta-GGA SCAN level.

Cell lengths 3.1336, 4.3193, 5.4235 Å; angles 90.00, 106.79, 90.00 degrees
Fractional coordinates of all 4 atoms:
Cr (0.6860, 0.5000, 0.3721)
In (0.4141, 0.5000, 0.8282)
In (0.0856, 0.0000, 0.1713)
Ir (0.8136, 0.0000, 0.6272)

The calculation puts the energy above the most stable polymorph in this dataset at 0.0 meV/atom. Its crystal system is orthorhombic. Its density of states at the Fermi level is 2.1 states/eV/f.u. The calculation puts the formation energy at 2.17 kcal/mol of atoms.

No. 17
Below is a crystal of MgTa2Ag relaxed with PBEsol, with properties calculated at the meta-GGA SCAN level.

Cell lengths 2.7977, 2.7977, 9.0350 Å; angles 90.00, 90.00, 90.00 degrees
Fractional coordinates of all 4 atoms:
Ta (0.0000, 0.0000, 0.2394)
Ta (0.0000, 0.0000, 0.7606)
Ag (0.5000, 0.5000, 0.0000)
Mg (0.5000, 0.5000, 0.5000)

Its crystal system is tetragonal. Its density of states at the Fermi level is 3.0 states/eV/f.u. The calculation puts the formation energy at 8.65 kcal/mol of atoms.

No. 18
Below is a crystal of Mg2As relaxed with PBEsol, with properties calculated at the meta-GGA SCAN level.

Cell lengths 3.4139, 3.7605, 5.3165 Å; angles 110.71, 108.73, 90.00 degrees
Fractional coordinates of all 3 atoms:
Mg (0.3465, 0.3465, 0.6930)
Mg (0.6535, 0.6535, 0.3070)
As (0.0000, 0.0000, 0.0000)

Its crystal system is orthorhombic. Its density of states at the Fermi level is 1.5 states/eV/f.u. The calculation puts the formation energy at -4.11 kcal/mol of atoms.

No. 19
Below is a crystal of BN relaxed with PBEsol, with properties calculated at the meta-GGA SCAN level.

Cell lengths 2.5424, 2.5424, 4.2051 Å; angles 90.00, 90.00, 120.00 degrees
Fractional coordinates of all 4 atoms:
N (0.6667, 0.3333, 0.8747)
N (0.3333, 0.6667, 0.3747)
B (0.3333, 0.6667, 0.0003)
B (0.6667, 0.3333, 0.5003)

The calculation puts the energy above the most stable polymorph in this dataset at 72.1 meV/atom. The uncorrected formation energy comes out at -1383 meV per atom. Its crystal system is hexagonal. Its density of states at the Fermi level is 0.0 states/eV/f.u.

No. 20
Below is a crystal of Fe3Mo3C relaxed with PBEsol, with properties calculated at the meta-GGA SCAN level.

Cell lengths 7.7126, 7.7126, 7.7126 Å; angles 60.00, 60.00, 60.00 degrees
Fractional coordinates of all 28 atoms:
Fe (0.6250, 0.1250, 0.1250)
Fe (0.2308, 0.9231, 0.9231)
Fe (0.3269, 0.3269, 0.3269)
Fe (0.3269, 0.3269, 0.0192)
Fe (0.9231, 0.2308, 0.9231)
Fe (0.1250, 0.6250, 0.1250)
Fe (0.9231, 0.9231, 0.2308)
Fe (0.1250, 0.1250, 0.6250)
Fe (0.3269, 0.0192, 0.3269)
Fe (0.0192, 0.3269, 0.3269)
Fe (0.1250, 0.1250, 0.1250)
Fe (0.9231, 0.9231, 0.9231)
C (0.1250, 0.6250, 0.6250)
C (0.6250, 0.1250, 0.6250)
C (0.6250, 0.6250, 0.1250)
C (0.6250, 0.6250, 0.6250)
Mo (0.2970, 0.2970, 0.7030)
Mo (0.5470, 0.5470, 0.9530)
Mo (0.7030, 0.2970, 0.7030)
Mo (0.7030, 0.2970, 0.2970)
Mo (0.9530, 0.5470, 0.9530)
Mo (0.5470, 0.9530, 0.9530)
Mo (0.2970, 0.7030, 0.2970)
Mo (0.2970, 0.7030, 0.7030)
Mo (0.9530, 0.9530, 0.5470)
Mo (0.5470, 0.9530, 0.5470)
Mo (0.9530, 0.5470, 0.5470)
Mo (0.7030, 0.7030, 0.2970)

Its crystal system is cubic. Its density of states at the Fermi level is 4.1 states/eV/f.u. The calculation puts the formation energy at 1.78 kcal/mol of atoms.

No. 21
Below is a crystal of PrGaO3 relaxed with PBEsol, with properties calculated at the meta-GGA SCAN level.

Cell lengths 5.4509, 5.5167, 7.7366 Å; angles 90.00, 90.00, 90.00 degrees
Fractional coordinates of all 20 atoms:
Ga (0.0000, 0.5000, 0.0000)
Ga (0.5000, 0.0000, 0.0000)
Ga (0.5000, 0.0000, 0.5000)
Ga (0.0000, 0.5000, 0.5000)
O (0.9204, 0.5167, 0.7500)
O (0.2143, 0.2132, 0.5432)
O (0.7143, 0.2868, 0.4568)
O (0.7857, 0.7868, 0.0432)
O (0.7143, 0.2868, 0.0432)
O (0.2857, 0.7132, 0.5432)
O (0.2143, 0.2132, 0.9568)
O (0.2857, 0.7132, 0.9568)
O (0.5796, 0.0167, 0.7500)
O (0.7857, 0.7868, 0.4568)
O (0.4204, 0.9833, 0.2500)
O (0.0796, 0.4833, 0.2500)
Pr (0.9892, 0.0429, 0.2500)
Pr (0.4892, 0.4571, 0.7500)
Pr (0.5108, 0.5429, 0.2500)
Pr (0.0108, 0.9571, 0.7500)

The uncorrected formation energy comes out at -2931 meV per atom. Its crystal system is orthorhombic. Its density of states at the Fermi level is 0.0 states/eV/f.u.

No. 22
Below is a crystal of TmAl3Ni2 relaxed with PBEsol, with properties calculated at the meta-GGA SCAN level.

Cell lengths 3.9359, 5.1734, 5.1734 Å; angles 120.00, 90.00, 90.00 degrees
Fractional coordinates of all 6 atoms:
Ni (0.0000, 0.3333, 0.6667)
Ni (0.0000, 0.6667, 0.3333)
Al (0.5000, 0.5000, 0.5000)
Al (0.5000, 0.5000, 0.0000)
Al (0.5000, 0.0000, 0.5000)
Tm (0.0000, 0.0000, 0.0000)

Its crystal system is hexagonal. Its density of states at the Fermi level is 3.2 states/eV/f.u. The calculation puts the formation energy at -15.81 kcal/mol of atoms.

No. 23
Below is a crystal of Sr2Cu relaxed with PBEsol, with properties calculated at the meta-GGA SCAN level.

Cell lengths 3.7843, 3.7843, 7.4186 Å; angles 104.78, 104.78, 90.00 degrees
Fractional coordinates of all 3 atoms:
Sr (0.1290, 0.1290, 0.2580)
Sr (0.8710, 0.8710, 0.7420)
Cu (0.5000, 0.5000, 0.0000)

Its crystal system is tetragonal. Its density of states at the Fermi level is 2.7 states/eV/f.u. The calculation puts the formation energy at 1.01 kcal/mol of atoms.

No. 24
Below is a crystal of Sc2FeSb relaxed with PBEsol, with properties calculated at the meta-GGA SCAN level.

Cell lengths 3.1236, 3.1236, 7.6115 Å; angles 90.00, 90.00, 89.81 degrees
Fractional coordinates of all 4 atoms:
Sc (0.0000, 0.0000, 0.3042)
Sc (0.0000, 0.0000, 0.6958)
Sb (0.5000, 0.5000, 0.0000)
Fe (0.5000, 0.5000, 0.5000)

The uncorrected formation energy comes out at -312 meV per atom. Its crystal system is orthorhombic. Its density of states at the Fermi level is 1.5 states/eV/f.u.

No. 25
Below is a crystal of CsSbPb relaxed with PBEsol, with properties calculated at the meta-GGA SCAN level.

Cell lengths 4.5856, 7.2279, 8.3290 Å; angles 71.51, 74.02, 71.51 degrees
Fractional coordinates of all 6 atoms:
Sb (0.3118, 0.1382, 0.2383)
Sb (0.6882, 0.8618, 0.7617)
Cs (0.9407, 0.2822, 0.8364)
Cs (0.0593, 0.7178, 0.1636)
Pb (0.6584, 0.2343, 0.4489)
Pb (0.3416, 0.7657, 0.5511)

The uncorrected formation energy comes out at -424 meV per atom. Its crystal system is monoclinic. Its density of states at the Fermi level is 0.5 states/eV/f.u.

No. 26
Below is a crystal of SbIrBr2 relaxed with PBEsol, with properties calculated at the meta-GGA SCAN level.

Cell lengths 3.4212, 5.0033, 6.2392 Å; angles 113.64, 105.91, 90.00 degrees
Fractional coordinates of all 4 atoms:
Br (0.8322, 0.8322, 0.6644)
Br (0.1678, 0.1678, 0.3356)
Sb (0.0000, 0.5000, 0.0000)
Ir (0.5000, 0.0000, 0.0000)

The calculation puts the energy above the most stable polymorph in this dataset at 364.5 meV/atom. The uncorrected formation energy comes out at 336 meV per atom. Its crystal system is orthorhombic. Its density of states at the Fermi level is 1.7 states/eV/f.u.